[1]
# PBE-GGA ZrSbAs, optimized geometry
# energy relative to the lowest polymorph listed for this composition: 1.30 eV/f.u.
# raw total energy: -5.82 eV/atom
data_ZrSbAs
_cell_length_a 6.654
_cell_length_b 6.654
_cell_length_c 6.654
_cell_angle_alpha 90.00
_cell_angle_beta 90.00
_cell_angle_gamma 90.00
_space_group_name_H-M_alt 'F -4 3 m'
_space_group_IT_number 216
_space_group_name_Hall 'F -4 2 3'
loop_
_atom_site_label
_atom_site_type_symbol
_atom_site_fract_x
_atom_site_fract_y
_atom_site_fract_z
Zr1 Zr 0.000 0.000 0.000
Sb1 Sb 0.000 0.000 0.500
As1 As 0.250 0.250 0.750


[2]
# PBE-GGA HfCdCuGe, optimized geometry
# energy relative to the lowest polymorph listed for this composition: 0.00 eV/f.u.
# raw total energy: -4.67 eV/atom
data_HfCdCuGe
_cell_length_a 6.599
_cell_length_b 6.599
_cell_length_c 6.599
_cell_angle_alpha 90.00
_cell_angle_beta 90.00
_cell_angle_gamma 90.00
_space_group_name_H-M_alt 'F -4 3 m'
_space_group_IT_number 216
_space_group_name_Hall 'F -4 2 3'
loop_
_atom_site_label
_atom_site_type_symbol
_atom_site_fract_x
_atom_site_fract_y
_atom_site_fract_z
Hf1 Hf 0.000 0.000 0.000
Cd1 Cd 0.250 0.250 0.750
Cu1 Cu 0.000 0.000 0.500
Ge1 Ge 0.250 0.250 0.250


[3]
# PBE-GGA Y3AlCd2AgAu2, optimized geometry
# raw total energy: -4.43 eV/atom
data_Y3AlCd2AgAu2
_cell_length_a 3.881
_cell_length_b 13.523
_cell_length_c 7.712
_cell_angle_alpha 90.00
_cell_angle_beta 90.00
_cell_angle_gamma 90.00
_space_group_name_H-M_alt 'A m m 2'
_space_group_IT_number 38
_space_group_name_Hall 'A 2 -2'
loop_
_atom_site_label
_atom_site_type_symbol
_atom_site_fract_x
_atom_site_fract_y
_atom_site_fract_z
Y1 Y 0.000 0.000 0.000
Y2 Y 0.000 0.207 0.391
Al1 Al 0.500 0.000 0.330
Cd1 Cd 0.500 0.129 0.720
Ag1 Ag 0.000 0.000 0.567
Au1 Au 0.500 0.161 0.102


Look up the raw total energy of the first one.
-5.82 eV/atom